#w
An optimized crystal structure of Zn2SnB. Source: the Alexandria database, functional PBE.

a = 4.5893 Å, b = 4.5893 Å, c = 4.5893 Å
α = 60.00°, β = 60.00°, γ = 60.00°
Sites, in units of the cell vectors:
Zn 0.2500 0.2500 0.2500
Zn 0.7500 0.7500 0.7500
B 0.0000 0.0000 0.0000
Sn 0.5000 0.5000 0.5000

Values from the calculation:
Space group: No. 225
DOS(E_F) (states/eV per atom): 0.56

***

#x
An optimized crystal structure of Zn2SnB. Source: the Alexandria database, functional PBE.

a = 4.5260 Å, b = 4.5260 Å, c = 7.7489 Å
α = 73.02°, β = 73.02°, γ = 90.00°
Sites, in units of the cell vectors:
Zn 0.4827 0.1250 0.2500
Zn 0.2673 0.6250 0.2500
Zn 0.3750 0.5173 0.7500
Zn 0.8750 0.7327 0.7500
B 0.5000 0.5000 0.0000
B 0.2500 0.7500 0.5000
Sn 0.0000 0.0000 0.0000
Sn 0.7500 0.2500 0.5000

Values from the calculation:
Space group: No. 122
DOS(E_F) (states/eV per atom): 0.65

***

Stability, highest: #x

***

#w
An optimized crystal structure of ZrSn3B. Source: the Alexandria database, functional PBE.

a = 4.8127 Å, b = 4.8127 Å, c = 4.8127 Å
α = 90.00°, β = 90.00°, γ = 90.00°
Sites, in units of the cell vectors:
B 0.0000 0.0000 0.0000
Sn 0.0000 0.5000 0.0000
Sn 0.0000 0.0000 0.5000
Sn 0.5000 0.0000 0.0000
Zr 0.5000 0.5000 0.5000

Values from the calculation:
Space group: No. 221
DOS(E_F) (states/eV per atom): 0.90

***

#x
An optimized crystal structure of ZrSn3B. Source: the Alexandria database, functional PBE.

a = 5.5474 Å, b = 5.5474 Å, c = 5.5474 Å
α = 90.00°, β = 90.00°, γ = 90.00°
Sites, in units of the cell vectors:
B 0.5000 0.5000 0.5000
Sn 0.0000 0.5000 0.0000
Sn 0.0000 0.0000 0.5000
Sn 0.5000 0.0000 0.0000
Zr 0.0000 0.0000 0.0000

Values from the calculation:
Space group: No. 221
DOS(E_F) (states/eV per atom): 0.55

***

Stability, highest: #w